# 1
DFT (PBE) results for crystalline CoRhSe3 at its relaxed geometry.

Cell lengths 4.581, 4.581, 4.581 Å; angles 90.00, 90.00, 90.00 degrees
Space group Pm-3m (No. 221)
Inequivalent atoms, fractional coordinates:
1 Co 0.000 0.000 0.000
2 Rh 0.500 0.500 0.500
3 Se 0.000 0.000 0.500

Energy above the most stable polymorph in this dataset: 813 meV per atom
E_form (uncorrected): 0.649 eV/atom
Total magnetization: 0.00 μB per atom
Calculated density: 6.89 g/cm3

---

# 2
DFT (PBE) results for crystalline Co2RhSe at its relaxed geometry.

Cell lengths 2.916, 3.353, 5.430 Å; angles 90.00, 90.00, 90.00 degrees
Space group Pmm2 (No. 25)
Inequivalent atoms, fractional coordinates:
1 Co 0.000 0.000 0.000
2 Co 0.500 0.500 0.207
3 Rh 0.000 0.000 0.473
4 Se 0.500 0.500 0.758

E_form (uncorrected): 0.174 eV/atom
Total magnetization: 0.76 μB per atom
Calculated density: 9.37 g/cm3

---

# 3
DFT (PBE) results for crystalline Co2RhSe at its relaxed geometry.

Cell lengths 2.870, 3.824, 5.058 Å; angles 90.00, 106.08, 90.00 degrees
Space group P2/m (No. 10)
Inequivalent atoms, fractional coordinates:
1 Co 0.126 0.000 0.257
2 Rh 0.500 0.500 0.000
3 Se 0.000 0.500 0.500

E_form (uncorrected): 0.194 eV/atom
Total magnetization: 0.77 μB per atom
Calculated density: 9.33 g/cm3

---

# 4
DFT (PBE) results for crystalline Co2RhSe at its relaxed geometry.

Cell lengths 8.266, 2.881, 4.541 Å; angles 90.00, 100.12, 90.00 degrees
Space group Cm (No. 8)
Inequivalent atoms, fractional coordinates:
1 Co 0.000 0.000 0.000
2 Co 0.239 0.500 0.189
3 Rh 0.489 0.000 0.476
4 Se 0.244 0.000 0.755

E_form (uncorrected): 0.190 eV/atom
Total magnetization: 0.75 μB per atom
Calculated density: 9.35 g/cm3

---

# 5
DFT (PBE) results for crystalline Co2RhSe at its relaxed geometry.

Cell lengths 2.8208, 2.8208, 23.4086 Å; angles 90.00, 90.00, 120.00 degrees
Space group R-3m (No. 166, hexagonal axes)
Inequivalent atoms, fractional coordinates:
1 Co 0.0000 0.0000 0.2461
2 Rh 0.0000 0.0000 0.0000
3 Se 0.0000 0.0000 0.5000

E_form (uncorrected): 0.270 eV/atom
Total magnetization: 0.89 μB per atom
Calculated density: 9.26 g/cm3

---

# 6
DFT (PBE) results for crystalline Co2RhSe at its relaxed geometry.

Cell lengths 5.991, 5.991, 5.991 Å; angles 90.00, 90.00, 90.00 degrees
Space group F-43m (No. 216)
Inequivalent atoms, fractional coordinates:
1 Co 0.000 0.000 0.000
2 Co 0.250 0.250 0.250
3 Rh 0.000 0.000 0.500
4 Se 0.250 0.250 0.750

E_form (uncorrected): 0.284 eV/atom
Total magnetization: 0.95 μB per atom
Calculated density: 9.26 g/cm3